The following is a PBE calculation of a geometry-optimized NiPbS2Cl structure, from the Alexandria database.

The structure in extended XYZ format:
```
5
Lattice="5.191 0.000 0.000 0.000 5.191 0.000 0.000 0.000 5.315" Properties=species:S:1:pos:R:3 pbc="T T T"
Ni 0.000 0.000 0.000
Pb 2.596 2.596 2.657
S 0.000 2.596 2.657
S 2.596 0.000 2.657
Cl 2.596 2.596 0.000
```

Calculated values
Theoretical density ... 4.2 Mg/m³
Formation energy (no corrections) ... 0.773 eV/atom
Distance to the lowest polymorph of the same formula ... 95.44 kJ/mol of atoms
Space group ... P4/mmm, No. 123
Density of states at the Fermi level ... 10.9 states/eV/cell
Crystal system ... tetragonal

The following is a PBE calculation of a geometry-optimized NiPbS2Cl structure, from the Alexandria database.

The structure in extended XYZ format:
```
5
Lattice="4.586 0.000 0.000 0.000 4.586 0.000 0.000 0.000 4.723" Properties=species:S:1:pos:R:3 pbc="T T T"
Ni 0.000 0.000 0.000
Pb 2.293 2.293 2.361
S 0.000 2.293 0.000
S 2.293 0.000 0.000
Cl 0.000 0.000 2.361
```

Calculated values
Theoretical density ... 6.1 Mg/m³
Formation energy (no corrections) ... -0.216 eV/atom
Distance to the lowest polymorph of the same formula ... 0.00 kJ/mol of atoms
Space group ... P4/mmm, No. 123
Density of states at the Fermi level ... 4.0 states/eV/cell
Crystal system ... tetragonal

The following is a PBE calculation of a geometry-optimized NiTe2PbCl structure, from the Alexandria database.

The structure in extended XYZ format:
```
5
Lattice="5.226 0.000 0.000 0.000 5.226 0.000 0.000 0.000 4.680" Properties=species:S:1:pos:R:3 pbc="T T T"
Ni 0.000 0.000 0.000
Te 0.000 2.613 0.000
Te 2.613 0.000 0.000
Pb 2.613 2.613 2.340
Cl 0.000 0.000 2.340
```

Calculated values
Theoretical density ... 7.2 Mg/m³
Formation energy (no corrections) ... -0.156 eV/atom
Space group ... P4/mmm, No. 123
Density of states at the Fermi level ... 4.1 states/eV/cell
Crystal system ... tetragonal

The following is a PBE calculation of a geometry-optimized Tl3Ni2PbCl9 structure, from the Alexandria database.

The structure in extended XYZ format:
```
15
Lattice="7.121 0.000 0.000 -3.560 6.167 0.000 0.000 0.000 9.293" Properties=species:S:1:pos:R:3 pbc="T T T"
Tl 0.000 0.000 0.000
Tl 0.000 4.111 6.814
Tl 3.560 2.056 2.479
Ni 0.000 4.111 1.488
Ni 3.560 2.056 7.805
Pb 0.000 0.000 4.647
Cl -1.780 3.083 0.000
Cl 0.000 2.155 2.783
Cl -1.695 5.090 2.783
Cl 1.866 1.077 6.510
Cl 3.560 0.000 0.000
Cl 1.780 3.083 0.000
Cl 1.695 5.090 2.783
Cl 5.255 1.077 6.510
Cl 3.560 4.012 6.510
```

Calculated values
Theoretical density ... 5.1 Mg/m³
Formation energy (no corrections) ... -0.805 eV/atom
Space group ... P-3m1, No. 164
Density of states at the Fermi level ... 1.2 states/eV/cell
Crystal system ... trigonal

The following is a PBE calculation of a geometry-optimized Y2NiPbCl structure, from the Alexandria database.

The structure in extended XYZ format:
```
5
Lattice="5.377 0.000 0.000 0.000 5.377 0.000 0.000 0.000 4.800" Properties=species:S:1:pos:R:3 pbc="T T T"
Y 0.000 2.689 0.000
Y 2.689 0.000 0.000
Ni 0.000 0.000 0.000
Pb 0.000 0.000 2.400
Cl 2.689 2.689 2.400
```

Calculated values
Theoretical density ... 5.7 Mg/m³
Formation energy (no corrections) ... -0.345 eV/atom
Space group ... P4/mmm, No. 123
Density of states at the Fermi level ... 6.0 states/eV/cell
Crystal system ... tetragonal

The following is a PBE calculation of a geometry-optimized NiPd3Cl structure, from the Alexandria database.

The structure in extended XYZ format:
```
5
Lattice="4.496 0.000 0.000 0.000 4.496 0.000 0.000 0.000 4.496" Properties=species:S:1:pos:R:3 pbc="T T T"
Ni 0.000 0.000 0.000
Pd 0.000 2.248 2.248
Pd 2.248 0.000 2.248
Pd 2.248 2.248 0.000
Cl 2.248 2.248 2.248
```

Calculated values
Theoretical density ... 7.6 Mg/m³
Formation energy (no corrections) ... 0.720 eV/atom
Distance to the lowest polymorph of the same formula ... 0.00 kJ/mol of atoms
Space group ... Pm-3m, No. 221
Density of states at the Fermi level ... 8.1 states/eV/cell
Crystal system ... cubic

The following is a PBE calculation of a geometry-optimized Ni3PdCl9 structure, from the Alexandria database.

The structure in extended XYZ format:
```
26
Lattice="8.521 -4.282 0.000 8.521 4.282 0.000 -7.497 0.000 9.530" Properties=species:S:1:pos:R:3 pbc="T T T"
Ni 4.773 3.780 4.765
Ni 2.338 1.023 5.851
Ni 6.087 -1.023 1.086
Ni 7.517 0.574 4.274
Ni 3.768 -0.574 9.040
Ni 8.521 -3.780 0.000
Pd -1.262 1.860 7.410
Pd 2.487 -1.860 2.645
Cl 2.718 3.042 5.003
Cl 0.730 3.126 8.096
Cl -3.072 0.370 6.670
Cl 0.676 -0.370 1.905
Cl 0.143 0.776 5.741
Cl 6.098 2.249 3.867
Cl -0.523 0.229 9.044
Cl 3.892 -0.776 0.975
Cl 3.226 -0.229 4.279
Cl 3.830 1.017 7.488
Cl 9.501 1.540 4.352
Cl 10.381 0.525 1.201
Cl 7.578 -1.017 2.723
Cl 6.632 -0.525 5.966
Cl 6.466 -3.042 0.237
Cl 4.479 -3.126 3.331
Cl 2.349 -2.249 8.632
Cl 5.752 -1.540 9.117
```

Calculated values
Theoretical density ... 2.9 Mg/m³
Formation energy (no corrections) ... -0.418 eV/atom
Space group ... Cc, No. 9
Density of states at the Fermi level ... 14.0 states/eV/cell
Crystal system ... monoclinic

The following is a PBE calculation of a geometry-optimized NiPdCl6 structure, from the Alexandria database.

The structure in extended XYZ format:
```
8
Lattice="2.972 -5.788 0.000 2.972 5.788 0.000 -1.981 0.000 5.603" Properties=species:S:1:pos:R:3 pbc="T T T"
Ni 0.000 0.000 0.000
Pd 1.981 0.000 2.801
Cl 0.978 1.579 1.386
Cl -0.051 0.000 4.239
Cl 0.978 -1.579 1.386
Cl 2.984 1.579 4.217
Cl 4.013 0.000 1.364
Cl 2.984 -1.579 4.217
```

Calculated values
Theoretical density ... 3.3 Mg/m³
Formation energy (no corrections) ... -0.369 eV/atom
Distance to the lowest polymorph of the same formula ... 0.00 kJ/mol of atoms
Space group ... C2/m, No. 12
Density of states at the Fermi level ... 5.2 states/eV/cell
Crystal system ... monoclinic

The following is a PBE calculation of a geometry-optimized NiPdCl6 structure, from the Alexandria database.

The structure in extended XYZ format:
```
8
Lattice="3.015 1.741 5.388 -3.015 1.741 5.388 0.000 -3.482 5.388" Properties=species:S:1:pos:R:3 pbc="T T T"
Ni 0.000 0.000 0.000
Pd 0.000 0.000 8.083
Cl -0.898 -1.748 6.715
Cl -1.963 -0.096 9.450
Cl -1.065 1.652 6.715
Cl 1.065 -1.652 9.450
Cl 1.963 0.096 6.715
Cl 0.898 1.748 9.450
```

Calculated values
Theoretical density ... 3.7 Mg/m³
Formation energy (no corrections) ... -0.346 eV/atom
Distance to the lowest polymorph of the same formula ... 2.21 kJ/mol of atoms
Space group ... R-3, No. 148
Density of states at the Fermi level ... 1.5 states/eV/cell
Crystal system ... trigonal

The following is a PBE calculation of a geometry-optimized Ni3PdCl8 structure, from the Alexandria database.

The structure in extended XYZ format:
```
12
Lattice="6.151 -3.552 0.000 6.151 3.552 0.000 -4.183 0.000 6.322" Properties=species:S:1:pos:R:3 pbc="T T T"
Ni 0.000 0.000 0.000
Ni 3.076 1.776 0.000
Ni 3.076 -1.776 0.000
Pd 6.151 0.000 0.000
Cl 5.078 1.859 1.324
Cl 2.051 0.000 1.298
Cl -0.176 0.000 4.998
Cl 3.042 1.859 4.999
Cl 5.078 -1.859 1.324
Cl 8.296 0.000 1.324
Cl 6.069 0.000 5.024
Cl 3.042 -1.859 4.999
```

Calculated values
Theoretical density ... 3.4 Mg/m³
Formation energy (no corrections) ... -0.511 eV/atom
Space group ... C2/m, No. 12
Density of states at the Fermi level ... 0.3 states/eV/cell
Crystal system ... monoclinic

The following is a PBE calculation of a geometry-optimized Ni2PdCl6 structure, from the Alexandria database.

The structure in extended XYZ format:
```
9
Lattice="7.133 -1.774 0.000 7.133 1.774 0.000 -2.906 0.000 8.311" Properties=species:S:1:pos:R:3 pbc="T T T"
Ni 1.427 0.000 2.811
Ni 9.932 0.000 5.500
Pd 7.133 0.000 0.000
Cl 1.742 0.000 0.428
Cl 1.191 0.000 5.196
Cl 4.414 0.000 5.766
Cl 6.945 0.000 2.545
Cl 10.168 0.000 3.115
Cl 9.617 0.000 7.883
```

Calculated values
Theoretical density ... 3.4 Mg/m³
Formation energy (no corrections) ... -0.489 eV/atom
Space group ... C2/m, No. 12
Crystal system ... monoclinic

The following is a PBE calculation of a geometry-optimized Ni2PdCl structure, from the Alexandria database.

The structure in extended XYZ format:
```
8
Lattice="-3.340 3.340 2.539 3.340 -3.340 2.539 3.340 3.340 -2.539" Properties=species:S:1:pos:R:3 pbc="T T T"
Ni 1.670 1.410 -0.635
Ni 1.930 -1.670 3.174
Ni 1.670 1.930 1.904
Ni 1.410 5.010 0.635
Pd 3.340 0.000 1.270
Pd 0.000 0.000 2.539
Cl 0.000 0.000 0.000
Cl 0.000 3.340 1.270
```

Calculated values
Theoretical density ... 7.6 Mg/m³
Formation energy (no corrections) ... 0.423 eV/atom
Distance to the lowest polymorph of the same formula ... 0.00 kJ/mol of atoms
Space group ... I-42d, No. 122
Density of states at the Fermi level ... 9.3 states/eV/cell
Crystal system ... tetragonal

The following is a PBE calculation of a geometry-optimized Ni2PdCl structure, from the Alexandria database.

The structure in extended XYZ format:
```
4
Lattice="0.000 3.044 3.044 3.044 0.000 3.044 3.044 3.044 0.000" Properties=species:S:1:pos:R:3 pbc="T T T"
Ni 1.522 1.522 1.522
Ni 4.565 4.565 4.565
Pd 0.000 0.000 0.000
Cl 3.044 3.044 3.044
```

Calculated values
Theoretical density ... 7.6 Mg/m³
Formation energy (no corrections) ... 0.522 eV/atom
Distance to the lowest polymorph of the same formula ... 9.54 kJ/mol of atoms
Space group ... Fm-3m, No. 225
Density of states at the Fermi level ... 5.0 states/eV/cell
Crystal system ... cubic

The following is a PBE calculation of a geometry-optimized NiPd3Cl structure, from the Alexandria database.

The structure in extended XYZ format:
```
5
Lattice="4.640 0.000 0.000 0.000 4.640 0.000 0.000 0.000 4.640" Properties=species:S:1:pos:R:3 pbc="T T T"
Ni 0.000 0.000 0.000
Pd 0.000 0.000 2.320
Pd 0.000 2.320 0.000
Pd 2.320 0.000 0.000
Cl 2.320 2.320 2.320
```

Calculated values
Theoretical density ... 6.9 Mg/m³
Formation energy (no corrections) ... 0.811 eV/atom
Distance to the lowest polymorph of the same formula ... 8.72 kJ/mol of atoms
Space group ... Pm-3m, No. 221
Density of states at the Fermi level ... 10.5 states/eV/cell
Crystal system ... cubic